# 1
Material: CdCu2NiOs
Method: DFT, PBE-GGA
State: optimized geometry

Cell and atoms, written as POSCAR:
```
CdCu2NiOs
1.0
4.556 0.000 0.000
0.000 4.556 0.000
0.000 0.000 4.588
Cd Cu Ni Os
1 2 1 1
direct
0.000 0.000 0.000 Cd
0.000 0.500 0.000 Cu
0.500 0.000 0.000 Cu
0.000 0.000 0.500 Ni
0.500 0.500 0.500 Os
```

Output
Symmetry: No. 123
Formation enthalpy at 0 K in eV per atom: 1.8928
Magnetic moment in μB/atom: 0.48


# 2
Material: CdCuNiPd
Method: DFT, PBE-GGA
State: optimized geometry

Cell and atoms, written as POSCAR:
```
CdCuNiPd
1.0
6.160 0.000 0.000
0.000 6.160 0.000
0.000 0.000 6.160
Cd Cu Ni Pd
4 4 4 4
direct
0.000 0.000 0.000 Cd
0.000 0.500 0.500 Cd
0.500 0.000 0.500 Cd
0.500 0.500 0.000 Cd
0.000 0.000 0.500 Cu
0.000 0.500 0.000 Cu
0.500 0.000 0.000 Cu
0.500 0.500 0.500 Cu
0.250 0.250 0.250 Ni
0.250 0.750 0.750 Ni
0.750 0.250 0.750 Ni
0.750 0.750 0.250 Ni
0.250 0.250 0.750 Pd
0.250 0.750 0.250 Pd
0.750 0.250 0.250 Pd
0.750 0.750 0.750 Pd
```

Output
Symmetry: No. 216
Formation enthalpy at 0 K in eV per atom: -0.0384
Magnetic moment in μB/atom: 0.00


# 3
Material: Pr2CdCu5Ni2
Method: DFT, PBE-GGA
State: optimized geometry

Cell and atoms, written as POSCAR:
```
Pr2CdCu5Ni2
1.0
9.401 0.000 0.000
0.000 9.401 0.000
0.000 0.000 3.871
Pr Cd Cu Ni
4 2 10 4
direct
0.182 0.318 0.000 Pr
0.318 0.818 0.000 Pr
0.682 0.182 0.000 Pr
0.818 0.682 0.000 Pr
0.000 0.000 0.000 Cd
0.500 0.500 0.000 Cd
0.000 0.500 0.500 Cu
0.060 0.780 0.500 Cu
0.220 0.060 0.500 Cu
0.280 0.560 0.500 Cu
0.440 0.280 0.500 Cu
0.500 0.000 0.500 Cu
0.560 0.720 0.500 Cu
0.720 0.440 0.500 Cu
0.780 0.940 0.500 Cu
0.940 0.220 0.500 Cu
0.112 0.612 0.000 Ni
0.388 0.112 0.000 Ni
0.612 0.888 0.000 Ni
0.888 0.388 0.000 Ni
```

Output
Symmetry: No. 127
Formation enthalpy at 0 K in eV per atom: -0.1130
Magnetic moment in μB/atom: 0.00


# 4
Material: Cd2CuNi2Pt5
Method: DFT, PBE-GGA
State: optimized geometry

Cell and atoms, written as POSCAR:
```
Cd2CuNi2Pt5
1.0
9.004 0.000 0.000
0.000 9.004 0.000
0.000 0.000 3.906
Cd Cu Ni Pt
4 2 4 10
direct
0.172 0.328 0.000 Cd
0.328 0.828 0.000 Cd
0.672 0.172 0.000 Cd
0.828 0.672 0.000 Cd
0.000 0.000 0.000 Cu
0.500 0.500 0.000 Cu
0.126 0.626 0.000 Ni
0.374 0.126 0.000 Ni
0.626 0.874 0.000 Ni
0.874 0.374 0.000 Ni
0.000 0.500 0.500 Pt
0.073 0.801 0.500 Pt
0.199 0.073 0.500 Pt
0.301 0.573 0.500 Pt
0.427 0.301 0.500 Pt
0.500 0.000 0.500 Pt
0.573 0.699 0.500 Pt
0.699 0.427 0.500 Pt
0.801 0.927 0.500 Pt
0.927 0.199 0.500 Pt
```

Output
Symmetry: No. 127
Formation enthalpy at 0 K in eV per atom: -0.0937
Magnetic moment in μB/atom: 0.00


# 5
Material: CdCuReNi2
Method: DFT, PBE-GGA
State: optimized geometry

Cell and atoms, written as POSCAR:
```
CdCuReNi2
1.0
4.353 0.000 0.000
0.000 4.353 0.000
0.000 0.000 4.538
Cd Cu Re Ni
1 1 1 2
direct
0.000 0.000 0.000 Cd
0.500 0.500 0.500 Cu
0.500 0.500 0.000 Re
0.000 0.500 0.500 Ni
0.500 0.000 0.500 Ni
```

Output
Symmetry: No. 123
Formation enthalpy at 0 K in eV per atom: 1.2905
Magnetic moment in μB/atom: 0.68


# 6
Material: CdCuRe2Ni
Method: DFT, PBE-GGA
State: optimized geometry

Cell and atoms, written as POSCAR:
```
CdCuRe2Ni
1.0
4.469 0.000 0.000
0.000 4.469 0.000
0.000 0.000 4.448
Cd Cu Re Ni
1 1 2 1
direct
0.000 0.000 0.000 Cd
0.500 0.500 0.000 Cu
0.000 0.500 0.500 Re
0.500 0.000 0.500 Re
0.500 0.500 0.500 Ni
```

Output
Symmetry: No. 123
Formation enthalpy at 0 K in eV per atom: 1.4671
Magnetic moment in μB/atom: 0.28


# 7
Material: CdCuNiRh2
Method: DFT, PBE-GGA
State: optimized geometry

Cell and atoms, written as POSCAR:
```
CdCuNiRh2
1.0
4.899 0.000 0.000
0.000 4.899 0.000
0.000 0.000 4.600
Cd Cu Ni Rh
1 1 1 2
direct
0.000 0.000 0.000 Cd
0.500 0.500 0.500 Cu
0.000 0.000 0.500 Ni
0.000 0.500 0.000 Rh
0.500 0.000 0.000 Rh
```

Output
Symmetry: No. 123
Formation enthalpy at 0 K in eV per atom: 1.7096
Magnetic moment in μB/atom: 0.42


# 8
Material: CdCuNi2Rh
Method: DFT, PBE-GGA
State: optimized geometry

Cell and atoms, written as POSCAR:
```
CdCuNi2Rh
1.0
4.624 0.000 0.000
0.000 4.624 0.000
0.000 0.000 4.913
Cd Cu Ni Rh
1 1 2 1
direct
0.000 0.000 0.000 Cd
0.500 0.500 0.500 Cu
0.000 0.500 0.000 Ni
0.500 0.000 0.000 Ni
0.000 0.000 0.500 Rh
```

Output
Symmetry: No. 123
Formation enthalpy at 0 K in eV per atom: 1.6133
Magnetic moment in μB/atom: 0.31


# 9
Material: Sc4CdCuNi2
Method: DFT, PBE-GGA
State: optimized geometry

Cell and atoms, written as POSCAR:
```
Sc4CdCuNi2
1.0
2.318 1.338 7.644
-2.318 1.338 7.644
0.000 -2.676 7.644
Sc Cd Cu Ni
4 1 1 2
direct
0.118 0.118 0.118 Sc
0.370 0.370 0.370 Sc
0.630 0.630 0.630 Sc
0.882 0.882 0.882 Sc
0.500 0.500 0.500 Cd
0.000 0.000 0.000 Cu
0.248 0.248 0.248 Ni
0.752 0.752 0.752 Ni
```

Output
Symmetry: No. 166
Formation enthalpy at 0 K in eV per atom: -0.3424
Magnetic moment in μB/atom: 0.00


# 10
Material: ScCdCuNi
Method: DFT, PBE-GGA
State: optimized geometry

Cell and atoms, written as POSCAR:
```
ScCdCuNi
1.0
6.343 0.000 0.000
0.000 6.343 0.000
0.000 0.000 6.343
Sc Cd Cu Ni
4 4 4 4
direct
0.000 0.000 0.000 Sc
0.000 0.500 0.500 Sc
0.500 0.000 0.500 Sc
0.500 0.500 0.000 Sc
0.000 0.000 0.500 Cd
0.000 0.500 0.000 Cd
0.500 0.000 0.000 Cd
0.500 0.500 0.500 Cd
0.250 0.250 0.250 Cu
0.250 0.750 0.750 Cu
0.750 0.250 0.750 Cu
0.750 0.750 0.250 Cu
0.250 0.250 0.750 Ni
0.250 0.750 0.250 Ni
0.750 0.250 0.250 Ni
0.750 0.750 0.750 Ni
```

Output
Symmetry: No. 216
Formation enthalpy at 0 K in eV per atom: -0.2392
Magnetic moment in μB/atom: 0.00


# 11
Material: Sc4CdCu2Ni
Method: DFT, PBE-GGA
State: optimized geometry

Cell and atoms, written as POSCAR:
```
Sc4CdCu2Ni
1.0
2.345 1.354 7.623
-2.345 1.354 7.623
0.000 -2.708 7.623
Sc Cd Cu Ni
4 1 2 1
direct
0.116 0.116 0.116 Sc
0.368 0.368 0.368 Sc
0.632 0.632 0.632 Sc
0.884 0.884 0.884 Sc
0.500 0.500 0.500 Cd
0.244 0.244 0.244 Cu
0.756 0.756 0.756 Cu
0.000 0.000 0.000 Ni
```

Output
Symmetry: No. 166
Formation enthalpy at 0 K in eV per atom: -0.3133
Magnetic moment in μB/atom: 0.00


# 12
Material: Sm2CdCu3Ni12
Method: DFT, PBE-GGA
State: optimized geometry

Cell and atoms, written as POSCAR:
```
Sm2CdCu3Ni12
1.0
3.058 1.765 8.615
-3.058 1.765 8.615
0.000 -3.531 8.615
Sm Cd Cu Ni
2 1 3 12
direct
0.138 0.138 0.138 Sm
0.862 0.862 0.862 Sm
0.500 0.500 0.500 Cd
0.000 0.500 0.500 Cu
0.500 0.000 0.500 Cu
0.500 0.500 0.000 Cu
0.034 0.631 0.631 Ni
0.083 0.083 0.704 Ni
0.083 0.704 0.083 Ni
0.296 0.917 0.917 Ni
0.369 0.369 0.966 Ni
0.369 0.966 0.369 Ni
0.631 0.034 0.631 Ni
0.631 0.631 0.034 Ni
0.704 0.083 0.083 Ni
0.917 0.296 0.917 Ni
0.917 0.917 0.296 Ni
0.966 0.369 0.369 Ni
```

Output
Symmetry: No. 166
Formation enthalpy at 0 K in eV per atom: 0.2377
Magnetic moment in μB/atom: 0.08


What is the magnetic moment in the tenth record? 0.00 μB/atom


Among the records above, which one has the highest formation enthalpy at 0 K? CdCu2NiOs